PrCuSi2Au after structural relaxation, computed with GGA-PBE.

Computed properties:
Electronic total energy ... -5.21 eV per atom
Formation energy (no corrections) ... -292 kJ/mol of formula units

a b c (Å): 4.213 4.213 5.928
angles (deg): 110.81 110.81 90.00
Element x y z (fractional)
Si  0.384  0.384  0.767
Si  0.616  0.616  0.233
Au  0.750  0.250  0.500
Cu  0.250  0.750  0.500
Pr  0.000  0.000  0.000


PrSmCuAu after structural relaxation, computed with GGA-PBE.

Computed properties:
Electronic total energy ... -4.66 eV per atom
E_form ... -446 meV/atom

a b c (Å): 5.175 5.175 5.175
angles (deg): 60.00 60.00 60.00
Element x y z (fractional)
Sm  0.500  0.500  0.500
Pr  0.000  0.000  0.000
Au  0.750  0.750  0.750
Cu  0.250  0.250  0.250


PrSmCuAu after structural relaxation, computed with GGA-PBE.

Computed properties:
Electronic total energy ... -4.71 eV per atom
E_form ... -488 meV/atom

a b c (Å): 3.922 4.638 5.877
angles (deg): 90.00 109.49 90.00
Element x y z (fractional)
Au  0.577  0.500  0.153
Sm  0.139  0.000  0.278
Pr  0.860  0.500  0.720
Cu  0.424  0.000  0.849


PrCuSnAu after structural relaxation, computed with GGA-PBE.

Computed properties:
Electronic total energy ... -4.52 eV per atom
E_form ... -482 meV/atom

a b c (Å): 4.992 4.992 4.992
angles (deg): 60.00 60.00 60.00
Element x y z (fractional)
Au  0.000  0.000  0.000
Pr  0.750  0.750  0.750
Sn  0.250  0.250  0.250
Cu  0.500  0.500  0.500


Pr2CuSnAu6 after structural relaxation, computed with GGA-PBE.

Computed properties:
Electronic total energy ... -4.15 eV per atom
E_form ... -419 meV/atom

a b c (Å): 7.110 7.138 7.107
angles (deg): 45.29 84.33 104.61
Element x y z (fractional)
Cu  0.000  0.000  0.000
Au  0.325  0.310  0.523
Au  0.745  0.246  0.949
Au  0.061  0.212  0.186
Au  0.675  0.690  0.477
Au  0.255  0.754  0.051
Au  0.939  0.788  0.814
Pr  0.754  0.256  0.501
Pr  0.246  0.744  0.499
Sn  0.500  0.500  0.000


TbPrCuAu after structural relaxation, computed with GGA-PBE.

Computed properties:
Electronic total energy ... -4.66 eV per atom
E_form ... -465 meV/atom

a b c (Å): 5.136 5.136 5.136
angles (deg): 60.00 60.00 60.00
Element x y z (fractional)
Au  0.250  0.250  0.250
Cu  0.750  0.750  0.750
Pr  0.500  0.500  0.500
Tb  0.000  0.000  0.000


Q: Among the records above, which one has the lowest electronic total energy?
A: PrCuSi2Au


Q: Which of these has the lowest electronic total energy?
A: PrCuSi2Au


What did the fourth record say?
PrCuSnAu after structural relaxation, computed with GGA-PBE.

Computed properties:
Electronic total energy ... -4.52 eV per atom
E_form ... -482 meV/atom

a b c (Å): 4.992 4.992 4.992
angles (deg): 60.00 60.00 60.00
Element x y z (fractional)
Au  0.000  0.000  0.000
Pr  0.750  0.750  0.750
Sn  0.250  0.250  0.250
Cu  0.500  0.500  0.500


Q: Which value of electronic total energy does entry 2 give?
A: -4.66 eV per atom